BaHgGeTe3 after structural relaxation, computed with PBE.

```
12
Lattice="9.0270 0.0000 0.0000 0.0000 4.5675 0.0000 -2.3981 0.0000 10.2373" Properties=species:S:1:pos:R:3 pbc="T T T"
Ba 1.1850 1.1419 2.4624
Ba 5.4440 3.4256 7.7749
Hg -0.4652 1.1419 6.2918
Hg 7.0942 3.4256 3.9455
Ge 0.9560 3.4256 9.0091
Ge 5.6730 1.1419 1.2282
Te -1.1813 1.1419 9.0102
Te 0.9926 3.4256 5.3134
Te 3.6732 3.4256 1.5167
Te 2.9558 1.1419 8.7206
Te 5.6364 1.1419 4.9239
Te 7.8103 3.4256 1.2270
```

Uncorrected formation energy ... -612 meV per atom
Uncorrected energy ... -39.9 eV per cell



LaNd2Cd5 after structural relaxation, computed with PBE.

```
16
Lattice="5.2975 0.0000 0.0000 0.0000 5.2975 0.0000 0.0000 0.0000 15.5252" Properties=species:S:1:pos:R:3 pbc="T T T"
La 0.0000 0.0000 0.0000
La 2.6488 2.6488 7.7626
Nd 0.0000 0.0000 4.1325
Nd 0.0000 0.0000 11.3927
Nd 2.6488 2.6488 3.6301
Nd 2.6488 2.6488 11.8951
Cd 0.0000 0.0000 7.7626
Cd 0.0000 2.6488 1.8603
Cd 0.0000 2.6488 5.9023
Cd 0.0000 2.6488 9.6229
Cd 0.0000 2.6488 13.6649
Cd 2.6488 0.0000 1.8603
Cd 2.6488 0.0000 5.9023
Cd 2.6488 0.0000 9.6229
Cd 2.6488 0.0000 13.6649
Cd 2.6488 2.6488 0.0000
```

ΔE_f ... -322 meV per atom
Uncorrected energy ... -43.2 eV per cell



Q: What is the uncorrected energy in the second record?
A: -43.2 eV per cell